(1)
First-principles (GGA-PBE) data for a relaxed HgMo2Pb crystal, as listed in the Alexandria database.

Lattice parameters (Å, degrees): 3.353 4.746 4.863 90.00 90.00 90.00
Space group Pmmm (No. 47)
Symmetry-distinct sites (fractional):
1 Hg 0.000 0.000 0.000 x1
2 Mo 0.000 0.500 0.500 x1
3 Mo 0.500 0.500 0.000 x1
4 Pb 0.500 0.000 0.500 x1

DFT formation energy ... 311 kJ/mol of formula units
Calculated volume ... 19.34 Å³ per atom
ΔE to the lowest computed polymorph ... 0.410 eV/atom
N(E_F) ... 3.343 states/eV/cell


(2)
First-principles (GGA-PBE) data for a relaxed Ba2CaScFe crystal, as listed in the Alexandria database.

Lattice parameters (Å, degrees): 6.767 6.767 4.347 90.00 90.00 90.00
Space group P4/mmm (No. 123)
Symmetry-distinct sites (fractional):
1 Ba 0.000 0.500 0.000 x2
2 Ca 0.000 0.000 0.500 x1
3 Sc 0.500 0.500 0.000 x1
4 Fe 0.500 0.500 0.500 x1

DFT formation energy ... 347 kJ/mol of formula units
Calculated volume ... 39.81 Å³ per atom
N(E_F) ... 10.507 states/eV/cell


(3)
First-principles (GGA-PBE) data for a relaxed NbAlWAu2 crystal, as listed in the Alexandria database.

Lattice parameters (Å, degrees): 4.529 4.529 4.788 90.00 90.00 90.00
Space group P4/mmm (No. 123)
Symmetry-distinct sites (fractional):
1 Nb 0.000 0.000 0.000 x1
2 Al 0.000 0.000 0.500 x1
3 W 0.500 0.500 0.000 x1
4 Au 0.000 0.500 0.500 x2

DFT formation energy ... 584 kJ/mol of formula units
Calculated volume ... 19.64 Å³ per atom
N(E_F) ... 2.618 states/eV/cell


(4)
First-principles (GGA-PBE) data for a relaxed TbSi2PtRh crystal, as listed in the Alexandria database.

Lattice parameters (Å, degrees): 4.054 4.054 10.182 90.00 90.00 90.00
Space group I-4m2 (No. 119)
Symmetry-distinct sites (fractional):
1 Tb 0.000 0.000 0.000 x2
2 Si 0.000 0.000 0.385 x4
3 Pt 0.000 0.500 0.250 x2
4 Rh 0.000 0.500 0.750 x2

Calculated volume ... 16.73 Å³ per atom
Formation energy from raw total energies ... -1.092 eV per atom
N(E_F) ... 4.888 states/eV/cell


(5)
First-principles (GGA-PBE) data for a relaxed Fe4TcMo crystal, as listed in the Alexandria database.

Lattice parameters (Å, degrees): 6.638 6.638 6.638 90.00 90.00 90.00
Space group F-43m (No. 216)
Symmetry-distinct sites (fractional):
1 Fe 0.125 0.125 0.125 x16
2 Tc 0.000 0.000 0.500 x4
3 Mo 0.250 0.250 0.750 x4

DFT formation energy ... 8 kJ/mol of formula units
Calculated volume ... 12.19 Å³ per atom
N(E_F) ... 37.272 states/eV/cell


(6)
First-principles (GGA-PBE) data for a relaxed Zn4CuPd15 crystal, as listed in the Alexandria database.

Lattice parameters (Å, degrees): 3.914 3.914 19.577 90.00 90.00 90.00
Space group P4/mmm (No. 123)
Symmetry-distinct sites (fractional):
1 Zn 0.000 0.000 0.100 x2
2 Zn 0.000 0.000 0.300 x2
3 Cu 0.000 0.000 0.500 x1
4 Pd 0.000 0.500 0.000 x2
5 Pd 0.000 0.500 0.201 x4
6 Pd 0.000 0.500 0.401 x4
7 Pd 0.500 0.500 0.101 x2
8 Pd 0.500 0.500 0.302 x2
9 Pd 0.500 0.500 0.500 x1

DFT formation energy ... -486 kJ/mol of formula units
Calculated volume ... 14.99 Å³ per atom
N(E_F) ... 28.038 states/eV/cell


> N(E_F) of number 4 (TbSi2PtRh)?

4.888 states/eV/cell